VASP calculation (PBE) on a geometry-optimized MnFeP structure.

The calculation puts the density at 6975 kg/m³. Its density of states at the Fermi level is 8.32 states/eV/cell. The value obtained for the total magnetization is 3.9 μB/cell. As for the formation energy: -308 meV/atom.

Lattice parameters (Å, degrees): 5.9684 2.8019 8.2551 90.00 102.06 90.00
With the nearest neighbours (Å) after each atom.
Fractional positions:
1 Mn 0.8514 0.0000 0.6821  3 P 2.26-2.29, 4 Fe 2.30-2.52, 2 Mn 2.46
2 Mn 0.8514 0.5000 0.1821  3 P 2.26-2.29, 4 Fe 2.30-2.52, 2 Mn 2.46
3 Mn 0.1866 0.0000 0.1697  4 P 2.26-2.31, 2 Mn 2.46
4 Mn 0.1866 0.5000 0.6697  4 P 2.26-2.31, 2 Mn 2.46
5 Fe 0.4604 0.0000 0.4943  5 P 2.27-2.42, 1 Mn 2.52, 2 Fe 2.52
6 Fe 0.4604 0.5000 0.9943  5 P 2.27-2.42, 1 Mn 2.52, 2 Fe 2.52
7 Fe 0.7969 0.0000 0.9565  3 Mn 2.30-2.35, 3 P 2.39-2.45, 2 Fe 2.52
8 Fe 0.7969 0.5000 0.4565  3 Mn 2.30-2.35, 3 P 2.39-2.45, 2 Fe 2.52
9 P 0.1671 0.0000 0.8884  4 Mn 2.26-2.31, 3 Fe 2.27-2.39
10 P 0.1671 0.5000 0.3884  4 Mn 2.26-2.31, 3 Fe 2.27-2.39
11 P 0.5728 0.0000 0.2370  3 Mn 2.26-2.29, 5 Fe 2.36-2.45
12 P 0.5728 0.5000 0.7370  3 Mn 2.26-2.29, 5 Fe 2.36-2.45

VASP calculation (PBE) on a geometry-optimized MnFe2P structure.

The calculation puts the density at 7510 kg/m³. Its density of states at the Fermi level is 4.35 states/eV/cell. The value obtained for the total magnetization is 2.4 μB/cell. As for the formation energy: -145 meV/atom.

Lattice parameters (Å, degrees): 3.5311 2.6212 4.8994 74.48 90.00 90.00
With the nearest neighbours (Å) after each atom.
Fractional positions:
1 Fe 0.0000 0.8098 0.0056  2 P 2.21, 4 Fe 2.46
2 Fe 0.5000 0.1938 0.2376  1 P 2.30, 4 Fe 2.46
3 Mn 0.0000 0.5469 0.5312  4 P 2.38, 7 Fe 2.48-2.60, 2 Mn 2.62
4 P 0.5000 0.9495 0.7257  3 Fe 2.21-2.30, 4 Mn 2.38

VASP calculation (PBE) on a geometry-optimized MnFeP structure.

The calculation puts the density at 7442 kg/m³. Its density of states at the Fermi level is 3.43 states/eV/cell. The value obtained for the total magnetization is 0.0 μB/cell. As for the formation energy: -189 meV/atom.

Lattice parameters (Å, degrees): 4.7115 4.7116 2.7109 73.28 73.28 33.44
With the nearest neighbours (Å) after each atom.
Fractional positions:
1 Fe 0.9838 0.9838 0.0162  4 P 2.31, 5 Mn 2.57-2.59
2 Mn 0.6833 0.6833 0.3167  4 P 2.31, 5 Fe 2.57-2.59
3 P 0.3330 0.3330 0.6670  4 Mn 2.31, 4 Fe 2.31

VASP calculation (PBE) on a geometry-optimized MnFe2P structure.

The calculation puts the density at 7243 kg/m³. Its density of states at the Fermi level is 4.89 states/eV/cell. The value obtained for the total magnetization is 5.6 μB/cell. As for the formation energy: -35 meV/atom.

Lattice parameters (Å, degrees): 4.0318 2.6111 4.3115 86.50 90.00 90.00
With the nearest neighbours (Å) after each atom.
Fractional positions:
1 Fe 0.0000 0.9495 0.9987  5 Fe 2.35-2.61, 2 P 2.36, 2 Mn 2.44
2 Fe 0.0000 0.5505 0.5013  5 Fe 2.35-2.61, 2 P 2.36, 2 Mn 2.44
3 Mn 0.5000 0.2500 0.2500  4 Fe 2.44, 4 P 2.45-2.59, 2 Mn 2.61
4 P 0.5000 0.7500 0.7500  4 Fe 2.36, 4 Mn 2.45-2.59, 2 P 2.61

VASP calculation (PBE) on a geometry-optimized Mn2FeP structure.

The calculation puts the density at 7467 kg/m³. Its density of states at the Fermi level is 4.18 states/eV/cell. The value obtained for the total magnetization is 1.3 μB/cell. As for the formation energy: 2 meV/atom.

Lattice parameters (Å, degrees): 7.7081 7.7081 7.7081 19.30 19.30 19.30
With the nearest neighbours (Å) after each atom.
Fractional positions:
1 Fe 0.7500 0.7500 0.7500  6 Mn 2.48, 6 Fe 2.58
2 Mn 0.9961 0.9961 0.9961  3 P 2.34, 3 Fe 2.48, 6 Mn 2.58
3 Mn 0.5039 0.5039 0.5039  3 P 2.34, 3 Fe 2.48, 6 Mn 2.58
4 P 0.2500 0.2500 0.2500  6 Mn 2.34, 6 P 2.58

VASP calculation (PBE) on a geometry-optimized MnFe3P2 structure.

The calculation puts the density at 6966 kg/m³. Its energy above the lowest structure with this stoichiometry is 0 meV per atom. Its density of states at the Fermi level is 16.44 states/eV/cell. The value obtained for the total magnetization is 21.2 μB/cell. As for the formation energy: -496 meV/atom.

Lattice parameters (Å, degrees): 3.3890 5.8821 10.2034 89.88 90.00 90.00
With the nearest neighbours (Å) after each atom.
Fractional positions:
1 Mn 0.5000 0.4054 0.0000  5 P 2.42-2.47, 6 Fe 2.62-2.69
2 Mn 0.5000 0.9076 0.5031  5 P 2.43-2.47, 6 Fe 2.61-2.72
3 Mn 0.5000 0.8009 0.2049  5 P 2.44-2.47, 6 Fe 2.62-2.72
4 Fe 0.5000 0.2996 0.7049  5 P 2.37-2.46, 2 Fe 2.61
5 Fe 0.5000 0.2956 0.2962  5 P 2.40-2.47, 2 Fe 2.62
6 Fe 0.5000 0.7968 0.7938  5 P 2.34-2.46, 2 Fe 2.60
7 Fe 0.0000 0.7455 0.9985  4 P 2.22-2.24
8 Fe 0.0000 0.2459 0.5013  4 P 2.22-2.24
9 Fe 0.0000 0.6260 0.3734  4 P 2.23-2.28
10 Fe 0.0000 0.1276 0.8719  4 P 2.21-2.24
11 Fe 0.0000 0.1263 0.1259  4 P 2.25-2.31
12 Fe 0.0000 0.6268 0.6278  4 P 2.21-2.27
13 P 0.0000 0.0022 0.3357  5 Fe 2.22-2.45, 4 Mn 2.46-2.47
14 P 0.0000 0.5018 0.8327  7 Fe 2.21-2.46, 2 Mn 2.47
15 P 0.0000 0.5023 0.1671  5 Fe 2.23-2.47, 4 Mn 2.47
16 P 0.0000 0.0024 0.6679  7 Fe 2.21-2.46, 2 Mn 2.45
17 P 0.5000 0.9934 0.9933  7 Fe 2.24-2.34, 2 Mn 2.42-2.44
18 P 0.5000 0.4940 0.5016  8 Fe 2.24-2.40, 1 Mn 2.43

VASP calculation (PBE) on a geometry-optimized Mn2FeP structure.

The calculation puts the density at 7716 kg/m³. Its density of states at the Fermi level is 4.11 states/eV/cell. The value obtained for the total magnetization is 0.1 μB/cell. As for the formation energy: -129 meV/atom.

Lattice parameters (Å, degrees): 2.6884 2.6884 5.8569 90.00 90.00 90.00
With the nearest neighbours (Å) after each atom.
Fractional positions:
1 Fe 0.5000 0.5000 0.7500  8 Mn 2.48, 4 Fe 2.69
2 Mn 0.0000 0.0000 0.0222  4 P 2.32, 4 Fe 2.48
3 Mn 0.0000 0.0000 0.4778  4 P 2.32, 4 Fe 2.48
4 P 0.5000 0.5000 0.2500  8 Mn 2.32

VASP calculation (PBE) on a geometry-optimized MnFe3P2 structure.

The calculation puts the density at 6600 kg/m³. Its energy above the lowest structure with this stoichiometry is 145 meV per atom. Its density of states at the Fermi level is 12.35 states/eV/cell. The value obtained for the total magnetization is 18.0 μB/cell. As for the formation energy: -351 meV/atom.

Lattice parameters (Å, degrees): 3.5686 7.4909 8.6176 105.86 90.00 103.78
With the nearest neighbours (Å) after each atom.
Fractional positions:
1 Mn 0.1604 0.3208 0.7058  6 P 2.72-2.86, 6 Fe 2.75-3.03
2 Mn 0.8396 0.6792 0.2942  6 P 2.72-2.86, 6 Fe 2.75-3.03
3 Mn 0.0000 0.0000 0.0000  6 Fe 2.64-2.89, 6 P 2.67-2.70
4 Fe 0.0347 0.0694 0.3474  4 P 2.29-2.41, 3 Fe 2.35-2.50
5 Fe 0.9653 0.9306 0.6526  4 P 2.29-2.41, 3 Fe 2.35-2.50
6 Fe 0.2117 0.4234 0.3888  4 P 2.12-2.21
7 Fe 0.7883 0.5766 0.6112  4 P 2.12-2.21
8 Fe 0.6092 0.2183 0.1923  4 P 2.23-2.28, 1 Fe 2.49
9 Fe 0.3908 0.7817 0.8077  4 P 2.23-2.28, 1 Fe 2.49
10 Fe 0.5000 0.0000 0.5000  4 P 2.22-2.45, 4 Fe 2.35
11 Fe 0.3168 0.6335 0.0357  4 P 2.13-2.27
12 Fe 0.6832 0.3665 0.9643  4 P 2.13-2.27
13 P 0.1899 0.3798 0.1295  6 Fe 2.17-2.28
14 P 0.8101 0.6202 0.8705  6 Fe 2.17-2.28
15 P 0.4560 0.9120 0.2037  4 Fe 2.13-2.29
16 P 0.5440 0.0880 0.7963  4 Fe 2.13-2.29
17 P 0.3552 0.7104 0.5384  5 Fe 2.12-2.23
18 P 0.6448 0.2896 0.4616  5 Fe 2.12-2.23

- Which value of formation energy does entry 6 give?
  -496 meV/atom

- Which formula does entry 1 have?
  MnFeP

- Among the records above, which one has the highest density of states at the Fermi level?
  number 6

- Number 3 is which compound?
  MnFeP